Entry 1:
# SCAN NdHSe, single point on PBEsol structure
# - Uncorrected energy: -24.014 eV per atom
# - Size of the total moment: 0.0 μB per cell
data_NdHSe
_chemical_formula_sum 'Nd2 H2 Se2'
_cell_length_a 3.9563
_cell_length_b 3.9563
_cell_length_c 7.8498
_cell_angle_alpha 90.00
_cell_angle_beta 90.00
_cell_angle_gamma 120.00
_symmetry_space_group_name_H-M 'P 63/m m c'
_symmetry_Int_Tables_number 194
_symmetry_space_group_name_Hall '-P 6c 2c'
loop_
_atom_site_label
_atom_site_type_symbol
_atom_site_fract_x
_atom_site_fract_y
_atom_site_fract_z
_atom_site_occupancy
Nd1 Nd 0.3333 0.6667 0.2500 1
H1 H 0.3333 0.6667 0.7500 1
Se1 Se 0.0000 0.0000 0.0000 1

---

Entry 2:
# SCAN NiHO2, single point on PBEsol structure
# - Uncorrected energy: -9.093 eV per atom
# - Size of the total moment: 1.0 μB per cell
data_NiHO2
_chemical_formula_sum 'Ni1 H1 O2'
_cell_length_a 2.9062
_cell_length_b 2.9062
_cell_length_c 4.3516
_cell_angle_alpha 90.00
_cell_angle_beta 90.00
_cell_angle_gamma 120.00
_symmetry_space_group_name_H-M 'P 3 m 1'
_symmetry_Int_Tables_number 156
loop_
_symmetry_equiv_pos_as_xyz
'x,y,z'
'-y,x-y,z'
'-x+y,-x,z'
'-y,-x,z'
'-x+y,y,z'
'x,x-y,z'
loop_
_atom_site_label
_atom_site_type_symbol
_atom_site_fract_x
_atom_site_fract_y
_atom_site_fract_z
_atom_site_occupancy
Ni1 Ni 0.0000 0.0000 0.0000 1
H1 H 0.6667 0.3333 0.5450 1
O1 O 0.3333 0.6667 0.2136 1
O2 O 0.6667 0.3333 0.7738 1

---

Entry 3:
# SCAN NiH3O, single point on PBEsol structure
# - Uncorrected energy: -5.654 eV per atom
# - Size of the total moment: 0.0 μB per cell
data_NiH3O
_chemical_formula_sum 'Ni1 H3 O1'
_cell_length_a 3.043
_cell_length_b 3.043
_cell_length_c 3.043
_cell_angle_alpha 90.00
_cell_angle_beta 90.00
_cell_angle_gamma 90.00
_symmetry_space_group_name_H-M 'P m -3 m'
_symmetry_Int_Tables_number 221
_symmetry_space_group_name_Hall '-P 4 2 3'
loop_
_atom_site_label
_atom_site_type_symbol
_atom_site_fract_x
_atom_site_fract_y
_atom_site_fract_z
_atom_site_occupancy
Ni1 Ni 0.000 0.000 0.000 1
H1 H 0.000 0.500 0.500 1
O1 O 0.500 0.500 0.500 1